CoAgIO6: relaxed, GGA+U.

Output
Space group = P312
Uncorrected energy = -4.74 eV/atom

a b c (Å): 5.0443 5.0443 4.9786
angles (deg): 90.00 90.00 120.00
Fractional coordinates of all 9 atoms:
Co: 0.0000 0.0000 0.0000
Ag: 0.3333 0.6667 0.5000
I: 0.6667 0.3333 0.0000
O: 0.3298 0.0390 0.7845
O: 0.3298 0.2908 0.2155
O: 0.7092 0.0390 0.2155
O: 0.7092 0.6702 0.7845
O: 0.9610 0.2908 0.7845
O: 0.9610 0.6702 0.2155